# BaBeAg, optimized geometry, DFT GGA-PBE
data_BaBeAg
_chemical_formula_sum 'Ba4 Be4 Ag4'
_cell_length_a 7.234
_cell_length_b 7.234
_cell_length_c 7.234
_cell_angle_alpha 90.00
_cell_angle_beta 90.00
_cell_angle_gamma 90.00
_space_group_name_H-M_alt 'F -4 3 m'
_space_group_IT_number 216
_space_group_name_Hall 'F -4 2 3'
loop_
_atom_site_label
_atom_site_type_symbol
_atom_site_fract_x
_atom_site_fract_y
_atom_site_fract_z
Ba1 Ba 0.000 0.000 0.000
Be1 Be 0.000 0.000 0.500
Ag1 Ag 0.250 0.250 0.750
# D(E_F)   0.806 states/eV/atom
# E above lowest polymorph   479 meV/atom
# DFT formation energy   550 meV/atom